[1]
! Nd2CuTe3 PBE-GGA optimized geometry; values from VASP
&SYSTEM
  ibrav = 0, nat = 12, ntyp = 3
/
ATOMIC_SPECIES
Te 127.60 Te.upf
Nd 144.24 Nd.upf
Cu 63.55 Cu.upf
ATOMIC_POSITIONS angstrom
Te 2.7369 -7.3780 2.4402
Te -0.8415 -6.0116 1.2211
Te -0.7136 -1.3665 2.8094
Te 2.6090 -12.0231 0.8519
Te 0.2987 -8.4152 -1.9218
Te 1.5968 -4.9744 5.5831
Nd -0.1488 -5.4065 -1.8487
Nd 2.3440 -4.0166 2.7217
Nd 0.0000 0.0000 0.0000
Nd -0.4486 -9.3731 0.9396
Cu 2.4846 -9.5907 1.3399
Cu -0.5892 -3.7989 2.3214
CELL_PARAMETERS angstrom
-3.7942 -0.6779 2.2880
-0.2977 -10.8130 -3.6974
5.9873 -1.8987 5.0707
! space-group type: No. 11
! offset from the most stable computed form: 223.7 meV/atom

=====

[2]
! RbTbSmTe3 PBE-GGA optimized geometry; values from VASP
&SYSTEM
  ibrav = 0, nat = 12, ntyp = 4
/
ATOMIC_SPECIES
Te 127.60 Te.upf
Tb 158.93 Tb.upf
Sm 150.36 Sm.upf
Rb 85.47 Rb.upf
ATOMIC_POSITIONS angstrom
Te -6.7682 6.9467 7.9208
Te -3.3978 3.5171 4.0133
Te 1.4778 5.2998 6.7507
Te -1.8926 8.7294 10.6582
Te -2.6452 6.1232 7.3358
Te 0.0000 0.0000 0.0000
Tb -0.1484 7.0118 8.7073
Tb -5.1420 5.2347 5.9642
Sm -1.7168 1.7722 2.0218
Sm -3.5735 10.4743 12.6498
Rb 2.7598 3.0929 4.1418
Rb -8.0502 9.1536 10.5297
CELL_PARAMETERS angstrom
-6.7963 6.3566 3.5747
-7.0969 2.8476 6.3953
8.6028 3.0423 4.7016
! space-group type: No. 12
! offset from the most stable computed form: 0.0 meV/atom

=====

[3]
! MgGa2Tc PBE-GGA optimized geometry; values from VASP
&SYSTEM
  ibrav = 0, nat = 4, ntyp = 3
/
ATOMIC_SPECIES
Tc 98.00 Tc.upf
Ga 69.72 Ga.upf
Mg 24.30 Mg.upf
ATOMIC_POSITIONS angstrom
Tc 0.0000 0.0000 0.0000
Ga 2.2564 1.8767 4.6172
Ga 3.3846 2.8150 6.9258
Mg 1.1282 0.9383 2.3086
CELL_PARAMETERS angstrom
-0.7172 0.8519 4.3260
3.2775 -0.6186 2.9715
1.9526 3.5200 1.9368
! space-group type: No. 216
! total energy: -17.07 eV for the cell shown

=====

> What is the formula in the second record?

RbTbSmTe3

=====

> Which formula does entry 1 have?

Nd2CuTe3